1.
Entry from Alexandria: a relaxed DyYEr2S6 crystal (PBE-GGA).

Output
SG: R3
Uncorrected formation energy in meV per atom: -2064
DOS(E_F) in states/eV/atom: 0.000

a = 6.880 Å, b = 6.880 Å, c = 7.321 Å
α = 61.97°, β = 61.97°, γ = 59.99°
Atoms (fractional coordinates):
Dy  0.315  0.315  0.055
Y  0.815  0.815  0.554
Er  0.516  0.516  0.453
Er  0.016  0.016  0.953
S  0.618  0.221  0.250
S  0.221  0.912  0.250
S  0.912  0.618  0.250
S  0.411  0.720  0.750
S  0.720  0.118  0.750
S  0.119  0.411  0.750

***

2.
Entry from Alexandria: a relaxed GdBO3 crystal (PBE-GGA).

Output
SG: Ama2
Uncorrected formation energy in meV per atom: -3008
DOS(E_F) in states/eV/atom: 0.000

a = 3.990 Å, b = 3.990 Å, c = 8.606 Å
α = 90.00°, β = 90.00°, γ = 67.56°
Each line ends with the local moment (μB).
Atoms (fractional coordinates):
B  0.491  0.233  0.250  0.00
B  0.767  0.509  0.750  0.00
Gd  0.072  0.928  0.000  6.93
Gd  0.072  0.928  0.500  6.93
O  0.325  0.331  0.105  0.00
O  0.325  0.331  0.395  0.00
O  0.851  0.003  0.250  0.00
O  0.669  0.675  0.605  0.00
O  0.669  0.675  0.895  0.00
O  0.997  0.149  0.750  0.00

***

3.
Entry from Alexandria: a relaxed TbCuSn2Pd4 crystal (PBE-GGA).

Output
SG: R-3m
DOS(E_F) in states/eV/atom: 0.283
Final energy in eV per cell: -42.28

a = 4.642 Å, b = 4.642 Å, c = 8.178 Å
α = 73.51°, β = 73.51°, γ = 60.00°
Atoms (fractional coordinates):
Tb  0.000  0.000  0.000
Cu  0.500  0.500  0.500
Sn  0.753  0.753  0.742
Sn  0.247  0.247  0.258
Pd  0.389  0.389  0.834
Pd  0.871  0.871  0.386
Pd  0.129  0.129  0.614
Pd  0.611  0.611  0.166

***

- Number 3 is which compound?
  TbCuSn2Pd4

***

- Among the records above, which one has the highest DOS(E_F)?
  TbCuSn2Pd4

***

- What is the DOS(E_F) in the second record?
  0.000 states/eV/atom

***

- Which of these has the highest DOS(E_F)?
  TbCuSn2Pd4